The following is a PBE calculation of a relaxed BC crystal, from Alexandria.

a b c (Å): 2.652 3.589 8.278
angles (deg): 97.84 90.00 90.00
Sites, in units of the cell vectors:
B: 0.500 0.459 0.156
B: 0.000 0.100 0.172
B: 0.000 0.078 0.966
B: 0.500 0.839 0.043
B: 0.000 0.235 0.500
B: 0.500 0.565 0.825
C: 0.500 0.496 0.503
C: 0.000 0.917 0.338
C: 0.500 0.690 0.351
C: 0.000 0.312 0.822
C: 0.000 0.022 0.668
C: 0.500 0.786 0.656

Results
**Density**: 2.91 g cm⁻³
**Symmetry**: Pm, No. 6
**Total moment**: 0.00 Bohr magnetons per cell
**Volume**: 78 Å³/cell
**Energy**: -90.45 eV/cell